# CeAlCu GGA-PBE relaxed
# E_form (eV per atom): -0.28
# Total magnetization (μB per cell): 0.41
# Fermi-level density of states (states/eV/atom): 1.482
data_CeAlCu
_chemical_formula_sum 'Ce1 Al1 Cu1'
_symmetry_space_group_name_H-M 'P -6 m 2'
_symmetry_Int_Tables_number 187
_symmetry_space_group_name_Hall 'P -6 2'
_cell_length_a 4.5150
_cell_length_b 4.5150
_cell_length_c 3.4280
_cell_angle_alpha 90.00
_cell_angle_beta 90.00
_cell_angle_gamma 120.00
loop_
_atom_site_label
_atom_site_type_symbol
_atom_site_fract_x
_atom_site_fract_y
_atom_site_fract_z
Ce1 Ce 0.0000 0.0000 0.0000
Al1 Al 0.6667 0.3333 0.5000
Cu1 Cu 0.3333 0.6667 0.5000